No. 1
VASP calculation (GGA-PBE) on a relaxed structure of La2Tc2Hg.

Unit cell a=7.215 b=7.215 c=4.650 alpha=90.00 beta=90.00 gamma=90.00
Space group P4/mbm (No. 127)
Inequivalent atoms, fractional coordinates:
La (0.182, 0.318, 0.000) x4
Tc (0.111, 0.611, 0.500) x4
Hg (0.000, 0.000, 0.500) x2

## Properties
Its formation energy is 4 meV per atom. The crystal system is tetragonal. The calculation puts the total energy at -6.17 eV/atom.

***

No. 2
VASP calculation (GGA-PBE) on a relaxed structure of ScAg2Br.

Unit cell a=3.308 b=3.308 c=8.597 alpha=90.00 beta=90.00 gamma=90.00
Space group P4mm (No. 99)
Inequivalent atoms, fractional coordinates:
Sc (0.000, 0.000, 0.000) x1
Ag (0.000, 0.000, 0.410) x1
Ag (0.500, 0.500, 0.219) x1
Br (0.500, 0.500, 0.806) x1

## Properties
The crystal system is tetragonal. The calculation puts the total energy at -3.80 eV/atom. The formation energy without anion corrections is -0.37 eV per atom.

***

No. 3
VASP calculation (GGA-PBE) on a relaxed structure of TlAg3Au.

Unit cell a=6.988 b=12.121 c=5.408 alpha=90.00 beta=90.00 gamma=90.00
Space group Cmcm (No. 63)
Inequivalent atoms, fractional coordinates:
Tl (0.000, 0.167, 0.250) x4
Ag (0.000, 0.300, 0.750) x4
Ag (0.200, 0.100, 0.750) x8
Au (0.000, 0.500, 0.000) x4

## Properties
Its formation energy is 170 meV per atom. The crystal system is orthorhombic. The calculation puts the total energy at -2.67 eV/atom.